Entry 1:
Computed, not measured: a relaxed BeCO2F crystal at the PBE level of DFT.

## Properties
The calculation puts the uncorrected formation energy at 434 meV/atom. Its magnetization is 0.00 μB/atom.

Lattice parameters (Å, degrees): 3.391 3.391 3.388 90.00 90.00 90.00
Element x y z (fractional)
Be 0.000 0.000 0.000
C 0.500 0.500 0.500
O 0.000 0.500 0.500
O 0.500 0.000 0.500
F 0.500 0.500 0.000

Entry 2:
Computed, not measured: a relaxed TeMoOs2 crystal at the PBE level of DFT.

## Properties
The calculation puts the uncorrected formation energy at 819 meV/atom. Its magnetization is 0.40 μB/atom.

Lattice parameters (Å, degrees): 4.138 4.138 3.839 90.00 90.00 90.00
Element x y z (fractional)
Te 0.000 0.000 0.000
Mo 0.500 0.500 0.000
Os 0.000 0.500 0.500
Os 0.500 0.000 0.500

Entry 3:
Computed, not measured: a relaxed La2YAl3 crystal at the PBE level of DFT.

## Properties
Its magnetization is 0.00 μB/atom.

Lattice parameters (Å, degrees): 8.341 8.341 7.497 90.00 90.00 143.17
Element x y z (fractional)
La 0.000 0.000 0.000
La 0.000 0.000 0.500
La 0.338 0.662 0.000
La 0.662 0.338 0.000
Y 0.332 0.668 0.500
Y 0.668 0.332 0.500
Al 0.171 0.829 0.264
Al 0.171 0.829 0.736
Al 0.500 0.500 0.266
Al 0.500 0.500 0.734
Al 0.829 0.171 0.264
Al 0.829 0.171 0.736

Entry 4:
Computed, not measured: a relaxed Hf3Sb2H2 crystal at the PBE level of DFT.

## Properties
Its magnetization is 0.00 μB/atom.

Lattice parameters (Å, degrees): 5.568 6.587 7.857 90.00 119.67 90.00
Element x y z (fractional)
Hf 0.000 0.000 0.000
Hf 0.000 0.500 0.500
Hf 0.378 0.046 0.766
Hf 0.378 0.454 0.266
Hf 0.622 0.546 0.734
Hf 0.622 0.954 0.234
Sb 0.220 0.660 0.893
Sb 0.220 0.840 0.393
Sb 0.780 0.160 0.607
Sb 0.780 0.340 0.107
H 0.334 0.167 0.167
H 0.334 0.333 0.667
H 0.666 0.667 0.333
H 0.666 0.833 0.833

Entry 5:
Computed, not measured: a relaxed La2Pm2Sm5 crystal at the PBE level of DFT.

## Properties
Its magnetization is 0.00 μB/atom.

Lattice parameters (Å, degrees): 9.123 9.123 12.259 114.97 114.97 43.95
Element x y z (fractional)
La 0.000 0.000 0.000
La 0.358 0.168 0.266
La 0.543 0.457 0.500
La 0.832 0.642 0.734
Pm 0.212 0.063 0.641
Pm 0.429 0.343 0.883
Pm 0.657 0.571 0.117
Pm 0.937 0.788 0.359
Sm 0.026 0.196 0.361
Sm 0.166 0.294 0.984
Sm 0.213 0.686 0.187
Sm 0.232 0.415 0.572
Sm 0.314 0.787 0.813
Sm 0.585 0.768 0.428
Sm 0.648 0.228 0.197
Sm 0.706 0.834 0.016
Sm 0.772 0.352 0.803
Sm 0.804 0.974 0.639

Entry 6:
Computed, not measured: a relaxed SnOsRu2 crystal at the PBE level of DFT.

## Properties
Its magnetization is 0.00 μB/atom.

Lattice parameters (Å, degrees): 7.085 7.085 7.085 132.77 132.77 69.02
Element x y z (fractional)
Sn 0.000 0.000 0.000
Sn 0.750 0.250 0.500
Os 0.250 0.750 0.500
Os 0.500 0.500 0.000
Ru 0.163 0.625 0.038
Ru 0.375 0.413 0.538
Ru 0.587 0.125 0.962
Ru 0.875 0.837 0.462

Entry 7:
Computed, not measured: a relaxed MnIrRh2 crystal at the PBE level of DFT.

## Properties
Its magnetization is 0.82 μB/atom.

Lattice parameters (Å, degrees): 4.690 4.690 4.657 100.62 100.62 34.05
Element x y z (fractional)
Mn 0.000 0.000 0.000
Ir 0.256 0.256 0.747
Rh 0.503 0.503 0.505
Rh 0.747 0.747 0.242

Entry 8:
Computed, not measured: a relaxed TiMoHRu2 crystal at the PBE level of DFT.

## Properties
Its magnetization is 0.00 μB/atom.

Lattice parameters (Å, degrees): 3.965 3.965 3.900 90.00 90.00 90.00
Element x y z (fractional)
Ti 0.000 0.000 0.000
Mo 0.500 0.500 0.000
H 0.000 0.000 0.500
Ru 0.000 0.500 0.500
Ru 0.500 0.000 0.500

What are the N(E_F) values for these records? In order: 0.180 1.279 0.499 0.378 1.499 0.877 1.038 0.968 states/eV/atom.
What are the E_tot values for these records? In order: -0.332 -0.609 -0.365 -0.498 -0.341 -0.546 -0.608 -0.606 Ry per atom.